Record 1
Computed, not measured: a relaxed La2Pm5Nd crystal at the PBE level of DFT.

Unit cell a=6.5403 b=12.3630 c=15.0614 alpha=92.16 beta=77.46 gamma=74.66
Positions (direct):
1 Pm 0.7987 0.0008 0.8333
2 Pm 0.2962 0.0867 0.4797
3 Pm 0.6229 0.7993 0.7132
4 Pm 0.7400 0.8351 0.0309
5 Pm 0.6162 0.3188 0.8636
6 Pm 0.7987 0.1812 0.6364
7 Pm 0.2600 0.1649 0.9691
8 Pm 0.1373 0.5867 0.9797
9 Pm 0.8627 0.4133 0.0203
10 Pm 0.3672 0.5008 0.3333
11 Pm 0.6328 0.4992 0.6667
12 Pm 0.3838 0.6812 0.1364
13 Pm 0.7038 0.9133 0.5203
14 Pm 0.6059 0.6649 0.4691
15 Pm 0.8647 0.2993 0.2132
16 Pm 0.3941 0.3351 0.5309
17 Pm 0.3771 0.2007 0.2868
18 Pm 0.1353 0.7007 0.7868
19 Pm 0.2013 0.9992 0.1667
20 Pm 0.2013 0.8188 0.3636
21 La 0.8789 0.5969 0.2305
22 La 0.7407 0.1170 0.0580
23 La 0.0843 0.6170 0.5580
24 La 0.9157 0.3830 0.4420
25 La 0.2937 0.0969 0.7305
26 La 0.7063 0.9031 0.2695
27 La 0.2593 0.8830 0.9420
28 La 0.1211 0.4031 0.7695
29 Nd 0.3486 0.3866 0.1130
30 Nd 0.1518 0.8866 0.6130
31 Nd 0.6514 0.6135 0.8870
32 Nd 0.8482 0.1134 0.3870

Results
The crystal system is monoclinic. For the volume, the calculation gives 1141 Å³/cell. As for the formation energy: 0.092 eV/atom. The relative energy among the computed polymorphs comes out at 0 meV per atom.

***

Record 2
Computed, not measured: a relaxed La3PmNd8 crystal at the PBE level of DFT.

Unit cell a=8.5871 b=8.5871 c=8.5871 alpha=95.00 beta=117.16 gamma=117.16
Positions (direct):
1 Nd 0.0000 0.7507 0.2512
2 Nd 0.0000 0.8722 0.6291
3 Nd 0.4995 0.7488 0.7488
4 Nd 0.0000 0.6291 0.8722
5 Nd 0.7569 0.1278 0.1278
6 Nd 0.2431 0.3709 0.3709
7 Nd 0.0000 0.2512 0.7507
8 Nd 0.5005 0.2493 0.2493
9 La 0.0000 0.5000 0.5000
10 La 0.5000 0.2500 0.7500
11 La 0.5000 0.7500 0.2500
12 Pm 0.0000 0.0000 0.0000

Results
The crystal system is tetragonal. For the volume, the calculation gives 465 Å³/cell. As for the formation energy: 0.513 eV/atom.

***

Record 3
Computed, not measured: a relaxed La3PmNd7 crystal at the PBE level of DFT.

Unit cell a=6.5563 b=7.9160 c=7.9160 alpha=81.70 beta=86.22 gamma=86.22
Positions (direct):
1 Nd 0.2615 0.4291 0.0834
2 Nd 0.2615 0.0834 0.4291
3 Nd 0.7385 0.5709 0.9166
4 Nd 0.2122 0.7626 0.7626
5 Nd 0.0000 0.5000 0.5000
6 Nd 0.7385 0.9166 0.5709
7 Nd 0.7878 0.2374 0.2374
8 Pm 0.5000 0.5000 0.5000
9 La 0.0000 0.8252 0.1748
10 La 0.0000 0.1748 0.8252
11 La 0.5000 0.0000 0.0000

Results
The crystal system is monoclinic. For the volume, the calculation gives 405 Å³/cell. As for the formation energy: 0.200 eV/atom. The relative energy among the computed polymorphs comes out at 0 meV per atom.

***

Record 4
Computed, not measured: a relaxed La4PmNd8 crystal at the PBE level of DFT.

Unit cell a=11.9313 b=11.9313 c=7.9368 alpha=90.00 beta=138.73 gamma=120.00
Positions (direct):
1 Nd 0.4803 0.2401 0.7204
2 Nd 0.5197 0.7599 0.2796
3 Nd 0.8320 0.1630 0.9950
4 Nd 0.1680 0.3310 0.0050
5 Nd 0.3260 0.1630 0.9950
6 Nd 0.8320 0.6690 0.9950
7 Nd 0.6740 0.8370 0.0050
8 Nd 0.1680 0.8370 0.0050
9 La 0.0000 0.5000 0.0000
10 La 0.5000 0.5000 0.0000
11 La 0.5000 0.0000 0.0000
12 La 0.0000 0.0000 0.0000
13 Pm 0.0000 0.5000 0.5000

Results
The crystal system is trigonal. For the volume, the calculation gives 486 Å³/cell. As for the formation energy: 0.357 eV/atom.

***

Record 5
Computed, not measured: a relaxed La8Pm2Nd crystal at the PBE level of DFT.

Unit cell a=6.1539 b=9.3356 c=9.6913 alpha=61.21 beta=74.12 gamma=55.38
Positions (direct):
1 La 0.5000 0.7952 0.4095
2 La 0.8146 0.3347 0.7620
3 La 0.8146 0.0967 0.2380
4 La 0.2985 0.4223 0.0000
5 La 0.1854 0.6653 0.2380
6 La 0.5000 0.2048 0.5905
7 La 0.1854 0.9033 0.7620
8 La 0.7015 0.5777 0.0000
9 Pm 0.0000 0.3099 0.3802
10 Pm 0.0000 0.6901 0.6198
11 Nd 0.5000 0.0000 0.0000

Results
The crystal system is monoclinic. For the volume, the calculation gives 402 Å³/cell. As for the formation energy: 0.114 eV/atom. The relative energy among the computed polymorphs comes out at 0 meV per atom.

***

Record 6
Computed, not measured: a relaxed LaPmNd3 crystal at the PBE level of DFT.

Unit cell a=7.2179 b=9.5878 c=8.8813 alpha=135.97 beta=90.00 gamma=112.11
Positions (direct):
1 Nd 0.0956 0.6920 0.3076
2 Nd 0.5964 0.6920 0.3076
3 Nd 0.4036 0.3080 0.6924
4 Nd 0.7510 0.5020 0.5024
5 Nd 0.2490 0.4980 0.4976
6 Nd 0.9044 0.3080 0.6924
7 La 0.4442 0.8884 0.1119
8 La 0.5558 0.1116 0.8881
9 Pm 0.0569 0.1138 0.8863
10 Pm 0.9431 0.8862 0.1137

Results
The crystal system is monoclinic. For the volume, the calculation gives 359 Å³/cell. As for the formation energy: 0.112 eV/atom. The relative energy among the computed polymorphs comes out at 79 meV per atom.

***

Record 7
Computed, not measured: a relaxed LaPm6Nd3 crystal at the PBE level of DFT.

Unit cell a=6.4535 b=11.1979 c=11.1979 alpha=120.25 beta=90.00 gamma=90.00
Positions (direct):
1 Nd 0.4624 0.2925 0.0593
2 Nd 0.9624 0.7075 0.9407
3 Nd 0.4624 0.9407 0.7075
4 Nd 0.5892 0.6166 0.3834
5 Nd 0.0892 0.3834 0.6166
6 Nd 0.9624 0.0593 0.2925
7 Pm 0.8655 0.0362 0.9638
8 Pm 0.3778 0.5309 0.9476
9 Pm 0.5535 0.2907 0.3731
10 Pm 0.0535 0.3731 0.2907
11 Pm 0.3655 0.9638 0.0362
12 Pm 0.6420 0.2812 0.7188
13 Pm 0.5535 0.6269 0.7093
14 Pm 0.8778 0.4691 0.0524
15 Pm 0.3778 0.0524 0.4691
16 Pm 0.8778 0.9476 0.5309
17 Pm 0.1420 0.7188 0.2812
18 Pm 0.0535 0.7093 0.6269
19 La 0.6013 0.8116 0.1884
20 La 0.1013 0.1884 0.8116

Results
The crystal system is orthorhombic. For the volume, the calculation gives 699 Å³/cell. As for the formation energy: 0.133 eV/atom. The relative energy among the computed polymorphs comes out at 0 meV per atom.

***

Record 8
Computed, not measured: a relaxed La2PmNd crystal at the PBE level of DFT.

Unit cell a=3.7197 b=3.7197 c=12.2255 alpha=81.23 beta=81.23 gamma=60.01
Positions (direct):
1 Pm 0.4994 0.4994 0.5015
2 La 0.0835 0.0835 0.7490
3 La 0.2493 0.2493 0.2526
4 Nd 0.6679 0.6679 0.9968

Results
The crystal system is trigonal. For the volume, the calculation gives 144 Å³/cell. As for the formation energy: 0.015 eV/atom. The relative energy among the computed polymorphs comes out at 5 meV per atom.

***

Record 9
Computed, not measured: a relaxed La2Pm3Nd6 crystal at the PBE level of DFT.

Unit cell a=6.0266 b=6.5831 c=12.1437 alpha=80.42 beta=68.68 gamma=62.76
Positions (direct):
1 Nd 0.1809 0.0000 0.2318
2 Nd 0.8127 0.6855 0.2785
3 Nd 0.1873 0.3145 0.7215
4 Nd 0.5018 0.6855 0.7215
5 Nd 0.8191 0.0000 0.7682
6 Nd 0.4982 0.3145 0.2785
7 Pm 0.3222 0.3555 0.0000
8 Pm 0.6778 0.6445 0.0000
9 Pm 0.0000 0.0000 0.0000
10 La 0.8599 0.2801 0.5000
11 La 0.1401 0.7199 0.5000

Results
The crystal system is monoclinic. For the volume, the calculation gives 399 Å³/cell. As for the formation energy: 0.142 eV/atom. The relative energy among the computed polymorphs comes out at 0 meV per atom.

***

Record 10
Computed, not measured: a relaxed La2Pm12Nd5 crystal at the PBE level of DFT.

Unit cell a=9.4120 b=12.6066 c=8.9068 alpha=132.40 beta=90.00 gamma=111.92
Positions (direct):
1 Nd 0.2330 0.4660 0.8987
2 Nd 0.7670 0.5340 0.1013
3 Nd 0.2858 0.5717 0.6087
4 Nd 0.0000 0.0000 0.5000
5 Nd 0.7142 0.4283 0.3913
6 Pm 0.8279 0.2643 0.5833
7 Pm 0.9311 0.8623 0.7393
8 Pm 0.0322 0.7055 0.9486
9 Pm 0.6733 0.7055 0.9486
10 Pm 0.4364 0.2643 0.5833
11 Pm 0.5579 0.1158 0.7702
12 Pm 0.0689 0.1377 0.2607
13 Pm 0.9678 0.2945 0.0514
14 Pm 0.4421 0.8842 0.2298
15 Pm 0.3267 0.2945 0.0514
16 Pm 0.5636 0.7357 0.4167
17 Pm 0.1721 0.7357 0.4167
18 La 0.6683 0.0000 0.0000
19 La 0.3317 0.0000 0.0000

Results
The crystal system is monoclinic. For the volume, the calculation gives 673 Å³/cell. As for the formation energy: 0.123 eV/atom. The relative energy among the computed polymorphs comes out at 0 meV per atom.

***

Record 11
Computed, not measured: a relaxed LaPm4Nd7 crystal at the PBE level of DFT.

Unit cell a=6.1424 b=11.8978 c=6.8629 alpha=83.12 beta=63.42 gamma=75.04
Positions (direct):
1 Nd 0.3697 0.5014 0.7592
2 Nd 0.9396 0.3294 0.7914
3 Nd 0.0604 0.6706 0.2086
4 Nd 0.2094 0.0795 0.5017
5 Nd 0.5000 0.0000 0.0000
6 Nd 0.7906 0.9205 0.4983
7 Nd 0.6303 0.4986 0.2408
8 Pm 0.7531 0.6805 0.8133
9 Pm 0.2469 0.3195 0.1867
10 Pm 0.6349 0.2241 0.5062
11 Pm 0.3651 0.7759 0.4938
12 La 0.0000 0.0000 0.0000

Results
The crystal system is monoclinic. For the volume, the calculation gives 433 Å³/cell. As for the formation energy: 0.220 eV/atom. The relative energy among the computed polymorphs comes out at 213 meV per atom.

***

Record 12
Computed, not measured: a relaxed LaPm7Nd3 crystal at the PBE level of DFT.

Unit cell a=6.5285 b=7.8670 c=7.8670 alpha=81.33 beta=85.80 gamma=85.80
Positions (direct):
1 Nd 0.0000 0.8269 0.1731
2 Nd 0.0000 0.1731 0.8269
3 Nd 0.5000 0.0000 0.0000
4 Pm 0.2098 0.7635 0.7635
5 Pm 0.7902 0.2365 0.2365
6 Pm 0.0000 0.5000 0.5000
7 Pm 0.2603 0.4260 0.0779
8 Pm 0.2603 0.0779 0.4260
9 Pm 0.7397 0.9221 0.5740
10 Pm 0.7397 0.5740 0.9221
11 La 0.5000 0.5000 0.5000

Results
The crystal system is monoclinic. For the volume, the calculation gives 398 Å³/cell. As for the formation energy: 0.200 eV/atom. The relative energy among the computed polymorphs comes out at 0 meV per atom.